Record 1
Density functional theory data (PBE) for a relaxed structure of Mg4MnHg.

Cell: 5.706 5.706 5.706 Å, 60.00 60.00 60.00°
Each line ends with the local moment (μB).
Atoms (fractional coordinates):
Mg  0.874  0.375  0.375  -0.01
Mg  0.375  0.375  0.874  -0.01
Mg  0.375  0.874  0.375  -0.01
Mg  0.375  0.375  0.375  -0.01
Mn  0.750  0.750  0.750  4.07
Hg  0.000  0.000  0.000  0.00

Its symmetry is No. 216.

Record 2
Density functional theory data (PBE) for a relaxed structure of Ba6GeAu5.

Cell: 5.705 9.908 9.908 Å, 119.86 106.72 106.72°
Atoms (fractional coordinates):
Ge  0.000  0.000  0.000
Au  0.500  0.168  0.832
Au  0.000  0.332  0.668
Au  0.500  0.500  0.500
Au  0.000  0.668  0.332
Au  0.500  0.832  0.168
Ba  0.248  0.083  0.412
Ba  0.752  0.588  0.917
Ba  0.746  0.247  0.247
Ba  0.254  0.753  0.753
Ba  0.248  0.412  0.083
Ba  0.752  0.917  0.588

Its symmetry is No. 71.

Number 1: VASP energy -2.36 eV/atom. Number 2: VASP energy -3.36 eV/atom.